Entry from Alexandria via LeMat-Bulk: an optimized crystal structure of Zr2ScRh (PBE).

Summary:
**Energy of formation from the pure elements**: -28 kJ/mol of atoms

a b c (Å): 3.4130 4.6938 4.9441
angles (deg): 90.00 90.00 90.00
Fractional coordinates of all 4 atoms:
1 Rh 0.5000 0.0000 0.5000
2 Sc 0.0000 0.5000 0.5000
3 Zr 0.0000 0.0000 0.0000
4 Zr 0.5000 0.5000 0.0000

=====

Entry from Alexandria via LeMat-Bulk: an optimized crystal structure of NdTlAs2 (PBE).

Summary:
**Energy of formation from the pure elements**: -33 kJ/mol of atoms

a b c (Å): 4.6886 4.6886 8.2530
angles (deg): 73.50 73.50 60.00
Fractional coordinates of all 4 atoms:
1 Tl 0.0000 0.0000 0.0000
2 Nd 0.5000 0.5000 0.5000
3 As 0.1084 0.1084 0.6749
4 As 0.8916 0.8916 0.3251

=====

Entry from Alexandria via LeMat-Bulk: an optimized crystal structure of Zr2ZnW (PBE).

Summary:
**Energy of formation from the pure elements**: 27 kJ/mol of atoms

a b c (Å): 10.3364 10.3364 10.3364
angles (deg): 16.36 16.36 16.36
Fractional coordinates of all 4 atoms:
1 W 0.5063 0.5063 0.5063
2 Zn 0.2455 0.2455 0.2455
3 Zr 0.9931 0.9931 0.9931
4 Zr 0.7551 0.7551 0.7551

=====

Entry from Alexandria via LeMat-Bulk: an optimized crystal structure of Ag8SbAu4 (PBE).

Summary:
**E_form (uncorrected)**: 0.020 eV/atom

a b c (Å): 4.7592 2.9242 18.0720
angles (deg): 90.00 90.00 90.00
Fractional coordinates of all 13 atoms:
1 Ag 0.0000 0.0000 0.5043
2 Ag 0.0000 0.5000 0.9263
3 Ag 0.5000 0.5000 0.0188
4 Ag 0.5000 0.0000 0.5905
5 Ag 0.0000 0.5000 0.2074
6 Ag 0.0000 0.0000 0.7843
7 Ag 0.5000 0.0000 0.1627
8 Ag 0.5000 0.5000 0.7342
9 Sb 0.0000 0.0000 0.3482
10 Au 0.0000 0.0000 0.0686
11 Au 0.0000 0.5000 0.6435
12 Au 0.5000 0.5000 0.4382
13 Au 0.5000 0.0000 0.8760

=====

Entry from Alexandria via LeMat-Bulk: an optimized crystal structure of Na2PuPaSe4 (PBE).

Summary:
**E_form (uncorrected)**: -1.368 eV/atom

a b c (Å): 4.1594 7.2452 7.4279
angles (deg): 108.65 90.00 90.00
Fractional coordinates of all 8 atoms:
1 Na 0.5000 0.0000 0.5000
2 Na 0.0000 0.5000 0.5000
3 Pu 0.0000 0.0000 0.0000
4 Pa 0.5000 0.5000 0.0000
5 Se 0.5000 0.2518 0.2334
6 Se 0.5000 0.7482 0.7666
7 Se 0.0000 0.2603 0.7653
8 Se 0.0000 0.7397 0.2347

=====

Entry from Alexandria via LeMat-Bulk: an optimized crystal structure of NaAu (PBE).

Summary:
**Energy of formation from the pure elements**: -20 kJ/mol of atoms

a b c (Å): 3.8317 2.8180 8.2905
angles (deg): 90.00 90.00 90.00
Fractional coordinates of all 4 atoms:
1 Na 0.5000 0.0000 0.1361
2 Na 0.5000 0.5000 0.6361
3 Au 0.0000 0.0000 0.8644
4 Au 0.0000 0.5000 0.3644

=====

Entry from Alexandria via LeMat-Bulk: an optimized crystal structure of TaPdIN2 (PBE).

Summary:
**E_form (uncorrected)**: 0.385 eV/atom
**Relative energy among the computed polymorphs**: 0 meV/atom

a b c (Å): 3.9857 3.9857 6.0842
angles (deg): 90.00 90.00 90.00
Fractional coordinates of all 5 atoms:
1 I 0.0000 0.0000 0.5000
2 N 0.0000 0.5000 0.0000
3 N 0.5000 0.0000 0.0000
4 Pd 0.5000 0.5000 0.5000
5 Ta 0.0000 0.0000 0.0000

=====

Entry from Alexandria via LeMat-Bulk: an optimized crystal structure of LaY2Ho3 (PBE).

Summary:
**Energy of formation from the pure elements**: 22 kJ/mol of atoms
**Relative energy among the computed polymorphs**: 194 meV/atom

a b c (Å): 6.8009 7.8361 7.8361
angles (deg): 74.56 90.00 90.00
Fractional coordinates of all 12 atoms:
1 La 0.8237 0.8579 0.8579
2 La 0.3237 0.1421 0.1421
3 Y 0.5771 0.7823 0.4396
4 Y 0.0771 0.5604 0.2177
5 Y 0.5771 0.4396 0.7823
6 Y 0.0771 0.2177 0.5604
7 Ho 0.0752 0.8253 0.4818
8 Ho 0.5752 0.5182 0.1747
9 Ho 0.0752 0.4818 0.8253
10 Ho 0.5752 0.1747 0.5182
11 Ho 0.3297 0.8467 0.8467
12 Ho 0.8297 0.1533 0.1533

=====

Entry from Alexandria via LeMat-Bulk: an optimized crystal structure of BaDy6Se8 (PBE).

Summary:
**E_form (uncorrected)**: -1.657 eV/atom

a b c (Å): 7.8852 7.8852 7.8852
angles (deg): 91.96 91.96 91.96
Fractional coordinates of all 15 atoms:
1 Ba 0.0000 0.0000 0.0000
2 Dy 0.6011 0.4323 0.8058
3 Dy 0.4323 0.8058 0.6011
4 Dy 0.8058 0.6011 0.4323
5 Dy 0.3989 0.5677 0.1942
6 Dy 0.5677 0.1942 0.3989
7 Dy 0.1942 0.3989 0.5677
8 Se 0.7538 0.7538 0.7538
9 Se 0.2462 0.2462 0.2462
10 Se 0.6174 0.8614 0.2823
11 Se 0.8614 0.2823 0.6174
12 Se 0.2823 0.6174 0.8614
13 Se 0.3826 0.1386 0.7177
14 Se 0.1386 0.7177 0.3826
15 Se 0.7177 0.3826 0.1386

=====

Entry from Alexandria via LeMat-Bulk: an optimized crystal structure of AcSmPu (PBE).

Summary:
**Energy of formation from the pure elements**: 31 kJ/mol of atoms
**Relative energy among the computed polymorphs**: 151 meV/atom

a b c (Å): 3.4950 5.9200 5.9200
angles (deg): 120.00 90.00 90.00
Fractional coordinates of all 3 atoms:
1 Ac 0.1670 0.6667 0.3333
2 Sm 0.1663 0.0000 0.0000
3 Pu 0.6668 0.3333 0.6667

=====

Entry from Alexandria via LeMat-Bulk: an optimized crystal structure of NaTlN2O (PBE).

Summary:
**E_form (uncorrected)**: 1.572 eV/atom

a b c (Å): 4.6114 4.6114 4.4008
angles (deg): 90.00 90.00 90.00
Fractional coordinates of all 5 atoms:
1 Na 0.0000 0.0000 0.0000
2 Tl 0.5000 0.5000 0.5000
3 O 0.0000 0.0000 0.5000
4 N 0.0000 0.5000 0.0000
5 N 0.5000 0.0000 0.0000

=====

Entry from Alexandria via LeMat-Bulk: an optimized crystal structure of TaTlMo2 (PBE).

Summary:
**Energy of formation from the pure elements**: 54 kJ/mol of atoms
**Relative energy among the computed polymorphs**: 217 meV/atom

a b c (Å): 2.8175 2.8175 9.2765
angles (deg): 90.00 90.00 90.00
Fractional coordinates of all 4 atoms:
1 Mo 0.0000 0.0000 0.0090
2 Mo 0.0000 0.0000 0.4910
3 Ta 0.5000 0.5000 0.2500
4 Tl 0.5000 0.5000 0.7500

=====

Entry from Alexandria via LeMat-Bulk: an optimized crystal structure of Na2Ga13 (PBE).

Summary:
**Energy of formation from the pure elements**: 10 kJ/mol of atoms

a b c (Å): 7.4728 7.4728 9.4156
angles (deg): 66.62 66.62 60.00
Fractional coordinates of all 15 atoms:
1 Na 0.3062 0.3062 0.0815
2 Na 0.6938 0.6938 0.9185
3 Ga 0.5000 0.5000 0.5000
4 Ga 0.4574 0.8372 0.2479
5 Ga 0.4574 0.4574 0.2479
6 Ga 0.8372 0.4574 0.2479
7 Ga 0.1628 0.5426 0.7521
8 Ga 0.5426 0.1628 0.7521
9 Ga 0.5426 0.5426 0.7521
10 Ga 0.2643 0.8986 0.5728
11 Ga 0.2643 0.2643 0.5728
12 Ga 0.8986 0.2643 0.5728
13 Ga 0.1014 0.7357 0.4272
14 Ga 0.7357 0.1014 0.4272
15 Ga 0.7357 0.7357 0.4272

=====

Entry from Alexandria via LeMat-Bulk: an optimized crystal structure of Mg2In7Pb3 (PBE).

Summary:
**Energy of formation from the pure elements**: 1 kJ/mol of atoms

a b c (Å): 3.5241 5.8117 16.4618
angles (deg): 80.73 90.00 90.00
Fractional coordinates of all 12 atoms:
1 Mg 0.5000 0.6161 0.3254
2 Mg 0.5000 0.3839 0.6746
3 In 0.5000 0.7502 0.4992
4 In 0.5000 0.2498 0.5008
5 In 0.0000 0.5410 0.1720
6 In 0.0000 0.0000 0.0000
7 In 0.0000 0.4590 0.8280
8 In 0.5000 0.9633 0.8307
9 In 0.5000 0.0367 0.1693
10 Pb 0.5000 0.5000 0.0000
11 Pb 0.0000 0.1109 0.3418
12 Pb 0.0000 0.8891 0.6582

=====

Entry from Alexandria via LeMat-Bulk: an optimized crystal structure of SrV3Se (PBE).

Summary:
**E_form (uncorrected)**: 2.437 eV/atom
**Relative energy among the computed polymorphs**: 1817 meV/atom

a b c (Å): 4.6535 4.6535 4.6535
angles (deg): 90.00 90.00 90.00
Fractional coordinates of all 5 atoms:
1 Sr 0.0000 0.0000 0.0000
2 Se 0.5000 0.5000 0.5000
3 V 0.0000 0.5000 0.0000
4 V 0.0000 0.0000 0.5000
5 V 0.5000 0.0000 0.0000

=====

Entry from Alexandria via LeMat-Bulk: an optimized crystal structure of Dy2RhAu (PBE).

Summary:
**Energy of formation from the pure elements**: -73 kJ/mol of atoms

a b c (Å): 4.0147 4.0147 7.3767
angles (deg): 74.21 74.21 60.00
Fractional coordinates of all 4 atoms:
1 Dy 0.0734 0.0734 0.7797
2 Dy 0.2600 0.2600 0.2201
3 Rh 0.6650 0.6650 0.0051
4 Au 0.5016 0.5016 0.4951

=====

Entry from Alexandria via LeMat-Bulk: an optimized crystal structure of BiSbSeI2 (PBE).

Summary:
**E_form (uncorrected)**: 0.626 eV/atom
**Relative energy among the computed polymorphs**: 119 meV/atom

a b c (Å): 5.9682 5.9682 6.3398
angles (deg): 90.00 90.00 90.00
Fractional coordinates of all 5 atoms:
1 I 0.0000 0.5000 0.0000
2 I 0.5000 0.0000 0.0000
3 Sb 0.0000 0.0000 0.5000
4 Bi 0.0000 0.0000 0.0000
5 Se 0.5000 0.5000 0.5000

=====

Entry from Alexandria via LeMat-Bulk: an optimized crystal structure of Tl2GaBi (PBE).

Summary:
**Energy of formation from the pure elements**: 5 kJ/mol of atoms
**Relative energy among the computed polymorphs**: 41 meV/atom

a b c (Å): 4.9488 4.8416 4.8416
angles (deg): 90.00 90.00 90.00
Fractional coordinates of all 4 atoms:
1 Tl 0.0000 0.0000 0.5000
2 Tl 0.0000 0.5000 0.0000
3 Bi 0.5000 0.5000 0.5000
4 Ga 0.5000 0.0000 0.0000

=====

Entry from Alexandria via LeMat-Bulk: an optimized crystal structure of BaNb3Ir (PBE).

Summary:
**Energy of formation from the pure elements**: 77 kJ/mol of atoms
**Relative energy among the computed polymorphs**: 0 meV/atom

a b c (Å): 5.0422 5.0422 5.0422
angles (deg): 90.00 90.00 90.00
Fractional coordinates of all 5 atoms:
1 Nb 0.0000 0.5000 0.0000
2 Nb 0.0000 0.0000 0.5000
3 Nb 0.5000 0.0000 0.0000
4 Ir 0.0000 0.0000 0.0000
5 Ba 0.5000 0.5000 0.5000

=====

Entry from Alexandria via LeMat-Bulk: an optimized crystal structure of Tb7PmY2 (PBE).

Summary:
**Energy of formation from the pure elements**: 2 kJ/mol of atoms

a b c (Å): 6.1857 10.7100 7.9851
angles (deg): 107.36 104.97 39.70
Fractional coordinates of all 10 atoms:
1 Tb 0.1012 0.6992 0.6001
2 Tb 0.8988 0.3008 0.3999
3 Tb 0.7999 0.5997 0.7999
4 Tb 0.2001 0.4003 0.2001
5 Tb 0.6999 0.8999 0.1997
6 Tb 0.3001 0.1001 0.8003
7 Tb 0.5000 0.5000 0.0000
8 Pm 0.0000 0.0000 0.0000
9 Y 0.4022 0.7992 0.4007
10 Y 0.5978 0.2008 0.5993

=====

Number 1: density of states at the Fermi level 1.464 states/eV/atom, total moment 0.00 μB per formula unit. Number 2: density of states at the Fermi level 0.089 states/eV/atom, total moment 0.00 μB per formula unit. Number 3: density of states at the Fermi level 1.375 states/eV/atom, total moment 0.00 μB per formula unit. Number 4: density of states at the Fermi level 0.252 states/eV/atom, total moment 0.00 μB per formula unit. Number 5: density of states at the Fermi level 1.627 states/eV/atom, total moment 7.00 μB per formula unit. Number 6: density of states at the Fermi level 0.179 states/eV/atom, total moment 0.00 μB per formula unit. Number 7: density of states at the Fermi level 0.493 states/eV/atom, total moment 0.63 μB per formula unit. Number 8: density of states at the Fermi level 1.572 states/eV/atom, total moment 0.00 μB per formula unit. Number 9: density of states at the Fermi level 0.393 states/eV/atom, total moment 1.75 μB per formula unit. Number 10: density of states at the Fermi level 3.792 states/eV/atom, total moment 5.91 μB per formula unit. Number 11: density of states at the Fermi level 0.385 states/eV/atom, total moment 6.00 μB per formula unit. Number 12: density of states at the Fermi level 0.563 states/eV/atom, total moment 0.00 μB per formula unit. Number 13: density of states at the Fermi level 0.164 states/eV/atom, total moment 0.00 μB per formula unit. Number 14: density of states at the Fermi level 0.445 states/eV/atom, total moment 0.00 μB per formula unit. Number 15: density of states at the Fermi level 1.311 states/eV/atom, total moment 0.00 μB per formula unit. Number 16: density of states at the Fermi level 0.569 states/eV/atom, total moment 0.00 μB per formula unit. Number 17: density of states at the Fermi level 1.447 states/eV/atom, total moment 0.88 μB per formula unit. Number 18: density of states at the Fermi level 0.347 states/eV/atom, total moment 0.00 μB per formula unit. Number 19: density of states at the Fermi level 0.667 states/eV/atom, total moment 0.00 μB per formula unit. Number 20: density of states at the Fermi level 1.454 states/eV/atom, total moment 0.00 μB per formula unit.